[1]
Density functional theory data (PBE) for CuI2Br after structural relaxation.

Unit cell a=7.2850 b=3.9591 c=11.7455 alpha=90.00 beta=127.15 gamma=90.00
With the nearest neighbours (Å) after each atom.
Atoms (fractional coordinates):
Br 0.4915 0.5000 0.4757  2 Cu 2.51
Br 0.4915 0.0000 0.9757  2 Cu 2.51
I 0.8270 0.5000 0.8183  2 Cu 2.75, 1 I 2.97
I 0.1896 0.5000 0.1323  1 Cu 2.68, 1 I 2.97
I 0.1896 0.0000 0.6323  1 Cu 2.68, 1 I 2.97
Cu 0.5517 0.0000 0.6266  2 Br 2.51, 3 I 2.68-2.75
I 0.8270 0.0000 0.3183  2 Cu 2.75, 1 I 2.97
Cu 0.5517 0.5000 0.1266  2 Br 2.51, 3 I 2.68-2.75

Properties
Formation energy without anion corrections ... -0.32 eV/f.u.
Magnetization ... 0.0 μB per cell
Crystal system ... monoclinic


[2]
Density functional theory data (PBE) for Cu3IBr after structural relaxation.

Unit cell a=4.8685 b=4.8685 c=4.8685 alpha=90.00 beta=90.00 gamma=90.00
With the nearest neighbours (Å) after each atom.
Atoms (fractional coordinates):
I 0.5000 0.5000 0.5000  12 Cu 3.44
Cu 0.0000 0.0000 0.5000  2 Br 2.43
Cu 0.5000 0.0000 0.0000  2 Br 2.43
Br 0.0000 0.0000 0.0000  6 Cu 2.43
Cu 0.0000 0.5000 0.0000  2 Br 2.43

Properties
Formation energy without anion corrections ... 3.10 eV/f.u.
Magnetization ... 0.0 μB per cell
Crystal system ... cubic


[3]
Density functional theory data (PBE) for Cu3I2Br2 after structural relaxation.

Unit cell a=3.8537 b=3.7156 c=13.9589 alpha=98.68 beta=102.80 gamma=89.96
With the nearest neighbours (Å) after each atom.
Atoms (fractional coordinates):
Br 0.9263 0.5673 0.1144  3 Cu 2.48-2.50
Br 0.0737 0.4327 0.8856  3 Cu 2.48-2.50
Cu 0.8881 0.3230 0.7012  1 Br 2.48, 3 I 2.74-2.78
Cu 0.1119 0.6770 0.2988  1 Br 2.48, 3 I 2.74-2.78
I 0.3538 0.7960 0.6494  4 Cu 2.74-2.79
I 0.6462 0.2040 0.3506  4 Cu 2.74-2.79
Cu 0.0000 0.0000 0.0000  4 Br 2.49-2.50

Properties
Formation energy without anion corrections ... -0.81 eV/f.u.
Magnetization ... 0.0 μB per cell
Crystal system ... triclinic


[4]
Density functional theory data (PBE) for CuI2Br after structural relaxation.

Unit cell a=4.2530 b=4.3976 c=8.0672 alpha=96.83 beta=94.60 gamma=93.66
With the nearest neighbours (Å) after each atom.
Atoms (fractional coordinates):
Br 0.0459 0.6616 0.0848  2 Cu 2.46-2.47
I 0.5201 0.1876 0.4135  2 Cu 2.61-2.64, 1 I 2.88
I 0.8172 0.4053 0.7440  1 I 2.88, 1 Br 2.91
Cu 0.5707 0.6480 0.2391  2 Br 2.46-2.47, 2 I 2.61-2.64

Properties
Formation energy without anion corrections ... -0.39 eV/f.u.
Magnetization ... 0.0 μB per cell
Crystal system ... triclinic


[5]
Density functional theory data (PBE) for CuI2Br2 after structural relaxation.

Unit cell a=7.1421 b=7.1421 c=8.4961 alpha=90.00 beta=90.00 gamma=90.00
With the nearest neighbours (Å) after each atom.
Atoms (fractional coordinates):
Cu 0.5000 0.5000 0.0000  4 I 2.64
I 0.6748 0.1748 0.0000  2 Cu 2.64
Cu 0.0000 0.0000 0.0000  4 I 2.64
I 0.8252 0.6748 0.0000  2 Cu 2.64
Br 0.8854 0.3854 0.5000  1 Br 2.32
I 0.3252 0.8252 0.0000  2 Cu 2.64
Br 0.1146 0.6146 0.5000  1 Br 2.32
Br 0.6146 0.8854 0.5000  1 Br 2.32
I 0.1748 0.3252 0.0000  2 Cu 2.64
Br 0.3854 0.1146 0.5000  1 Br 2.32

Properties
Formation energy without anion corrections ... 0.39 eV/f.u.
Magnetization ... 0.0 μB per cell
Crystal system ... tetragonal


[6]
Density functional theory data (PBE) for CuI2Br after structural relaxation.

Unit cell a=4.0240 b=5.8915 c=7.5552 alpha=87.60 beta=88.96 gamma=89.65
With the nearest neighbours (Å) after each atom.
Atoms (fractional coordinates):
I 0.4426 0.5022 0.2591  2 I 2.99-3.00
I 0.3550 0.0056 0.2058  1 Cu 2.52
Br 0.8705 0.0040 0.7092  2 Cu 2.35-2.36
Cu 0.3637 0.0068 0.8721  2 Br 2.35-2.36, 1 I 2.52

Properties
Formation energy without anion corrections ... -0.37 eV/f.u.
Magnetization ... 0.0 μB per cell
Crystal system ... triclinic


[7]
Density functional theory data (PBE) for InCuI2Br after structural relaxation.

Unit cell a=5.9655 b=5.4409 c=5.9655 alpha=90.00 beta=90.00 gamma=90.00
With the nearest neighbours (Å) after each atom.
Atoms (fractional coordinates):
I 0.0000 0.0000 0.5000  2 In 2.98
Br 0.0000 0.5000 0.0000  2 In 2.72
In 0.0000 0.0000 0.0000  2 Br 2.72, 4 I 2.98
I 0.5000 0.0000 0.0000  2 In 2.98
Cu 0.5000 0.5000 0.5000  8 I 4.04, 4 Br 4.22

Properties
Formation energy without anion corrections ... 0.89 eV/f.u.
Magnetization ... 0.0 μB per cell
Crystal system ... tetragonal


[8]
Density functional theory data (PBE) for K2CuI2Br2 after structural relaxation.

Unit cell a=6.4202 b=6.6245 c=7.7341 alpha=64.66 beta=64.63 gamma=90.02
With the nearest neighbours (Å) after each atom.
Atoms (fractional coordinates):
Cu 0.0000 0.0000 0.0000  2 Br 2.29
I 0.5001 0.2523 0.0001  2 I 3.28-3.34, 2 Cu 3.62
I 0.4999 0.7477 0.9999  2 I 3.28-3.34, 2 Cu 3.62
Br 0.1888 0.1864 0.6279  1 Cu 2.29
K 0.2253 0.7299 0.5409  4 Br 3.36-3.38, 2 I 3.72-3.73
K 0.7747 0.2701 0.4591  4 Br 3.36-3.38, 2 I 3.72-3.73
Br 0.8112 0.8136 0.3721  1 Cu 2.29

Properties
Formation energy without anion corrections ... -6.65 eV/f.u.
Magnetization ... 0.0 μB per cell
Crystal system ... monoclinic